Record 1
# Sc2As3Rh5 (GGA-PBE, relaxed)
data_Sc2As3Rh5
_cell_length_a 4.0925
_cell_length_b 24.3099
_cell_length_c 6.4029
_cell_angle_alpha 90.00
_cell_angle_beta 90.00
_cell_angle_gamma 90.00
_space_group_name_H-M_alt 'C m c 21'
_space_group_IT_number 36
loop_
_space_group_symop_operation_xyz
'x,y,z'
'-x,-y,z+1/2'
'-x,y,z'
'x,-y,z+1/2'
'x+1/2,y+1/2,z'
'-x+1/2,-y+1/2,z+1/2'
'-x+1/2,y+1/2,z'
'x+1/2,-y+1/2,z+1/2'
loop_
_atom_site_label
_atom_site_type_symbol
_atom_site_fract_x
_atom_site_fract_y
_atom_site_fract_z
_atom_site_occupancy
Sc1 Sc 0.0000 0.0172 0.0000 1
Sc2 Sc 0.0000 0.3233 0.0942 1
As1 As 0.0000 0.1099 0.7689 1
As2 As 0.0000 0.2845 0.6588 1
As3 As 0.0000 0.4563 0.7858 1
Rh1 Rh 0.0000 0.1003 0.3733 1
Rh2 Rh 0.0000 0.2011 0.9214 1
Rh3 Rh 0.0000 0.2220 0.3619 1
Rh4 Rh 0.0000 0.3803 0.5356 1
Rh5 Rh 0.0000 0.4454 0.1638 1
# Uncorrected energy: -7.127 eV per atom
# Formation enthalpy at 0 K: -0.790 eV per atom
# ρ: 8.6 g/cm³



Record 2
# KLiAg2Cl4 (GGA-PBE, relaxed)
data_KLiAg2Cl4
_cell_length_a 6.8640
_cell_length_b 7.3109
_cell_length_c 8.2050
_cell_angle_alpha 90.00
_cell_angle_beta 90.00
_cell_angle_gamma 90.00
_space_group_name_H-M_alt 'I 2 2 2'
_space_group_IT_number 23
loop_
_space_group_symop_operation_xyz
'x,y,z'
'-x,-y,z'
'x,-y,-z'
'-x,y,-z'
'x+1/2,y+1/2,z+1/2'
'-x+1/2,-y+1/2,z+1/2'
'x+1/2,-y+1/2,-z+1/2'
'-x+1/2,y+1/2,-z+1/2'
loop_
_atom_site_label
_atom_site_type_symbol
_atom_site_fract_x
_atom_site_fract_y
_atom_site_fract_z
_atom_site_occupancy
K1 K 0.0000 0.0000 0.0000 1
Li1 Li 0.0000 0.0000 0.5000 1
Ag1 Ag 0.0000 0.5000 0.1820 1
Cl1 Cl 0.2065 0.1919 0.3394 1
# Uncorrected energy: -3.178 eV per atom
# ρ: 3.3 g/cm³



Record 3
# La12Hg3O5 (GGA-PBE, relaxed)
data_La12Hg3O5
_cell_length_a 16.4772
_cell_length_b 16.4772
_cell_length_c 16.4772
_cell_angle_alpha 90.00
_cell_angle_beta 90.00
_cell_angle_gamma 90.00
_space_group_name_H-M_alt 'I a -3 d'
_space_group_IT_number 230
_space_group_name_Hall '-I 4bd 2c 3'
loop_
_atom_site_label
_atom_site_type_symbol
_atom_site_fract_x
_atom_site_fract_y
_atom_site_fract_z
_atom_site_occupancy
La1 La 0.0401 0.0503 0.6472 1
Hg1 Hg 0.0000 0.2500 0.1250 1
O1 O 0.0000 0.0000 0.0000 1
O2 O 0.0000 0.2500 0.3750 1
# Uncorrected energy: -5.756 eV per atom
# ρ: 7.0 g/cm³